Entry A
The following is a PBE calculation of a geometry-optimized Pm2ThPd structure, from Alexandria via LeMat-Bulk.

a b c (Å): 3.7738 3.7738 29.3720
angles (deg): 90.00 90.00 120.00
Closest atoms and distances in Å follow each position.
Space group R3m (No. 160, hexagonal axes)
One atom of each set of equivalent atoms:
Pm 0.0000 0.0000 0.0000  3 Pd 2.91
Pm 0.0000 0.0000 0.2015  3 Pd 2.92
Th 0.0000 0.0000 0.4345  6 Pm 3.67-3.68, 6 Th 3.77
Pd 0.0000 0.0000 0.6009  6 Pm 2.91-2.92

Output
calculated density	8.64	g/cm3


Entry B
The following is a PBE calculation of a geometry-optimized Pm2ThPd structure, from Alexandria via LeMat-Bulk.

a b c (Å): 3.6380 3.6380 8.4380
angles (deg): 90.00 90.00 90.00
Closest atoms and distances in Å follow each position.
Space group P4/mmm (No. 123)
One atom of each set of equivalent atoms:
Pm 0.0000 0.0000 0.2082  4 Pd 3.11
Th 0.5000 0.5000 0.5000  8 Pm 3.56, 4 Th 3.64
Pd 0.5000 0.5000 0.0000  8 Pm 3.11

Output
calculated density	9.34	g/cm3


Name the least stable of them. entry A.


Entry A
The following is a PBE calculation of a geometry-optimized PmThPd2 structure, from Alexandria via LeMat-Bulk.

a b c (Å): 3.6450 3.6450 7.2146
angles (deg): 90.00 90.00 90.00
Closest atoms and distances in Å follow each position.
Space group P4/mmm (No. 123)
One atom of each set of equivalent atoms:
Pm 0.0000 0.0000 0.0000  8 Pd 3.23, 2 Th 3.61
Th 0.0000 0.0000 0.5000  8 Pd 3.06
Pd 0.5000 0.5000 0.2705  4 Th 3.06, 4 Pm 3.23, 1 Pd 3.31

Output
calculated density	10.22	g/cm3


Entry B
The following is a PBE calculation of a geometry-optimized PmThPd2 structure, from Alexandria via LeMat-Bulk.

a b c (Å): 7.2302 7.2302 7.2302
angles (deg): 90.00 90.00 90.00
Closest atoms and distances in Å follow each position.
Space group Fm-3m (No. 225)
One atom of each set of equivalent atoms:
Pm 0.0000 0.0000 0.0000  8 Pd 3.13
Th 0.0000 0.0000 0.5000  8 Pd 3.13
Pd 0.2500 0.2500 0.2500  4 Th 3.13, 4 Pm 3.13

Output
calculated density	10.37	g/cm3


Name the least stable of them. entry B.


Entry A
The following is a PBE calculation of a geometry-optimized PmTiPd2 structure, from Alexandria via LeMat-Bulk.

a b c (Å): 6.8139 6.8139 6.8139
angles (deg): 90.00 90.00 90.00
Closest atoms and distances in Å follow each position.
Space group Fm-3m (No. 225)
One atom of each set of equivalent atoms:
Pm 0.0000 0.0000 0.0000  8 Pd 2.95
Ti 0.0000 0.0000 0.5000  8 Pd 2.95
Pd 0.2500 0.2500 0.2500  4 Pm 2.95, 4 Ti 2.95

Output
calculated density	8.52	g/cm3


Entry B
The following is a PBE calculation of a geometry-optimized PmTiPd2 structure, from Alexandria via LeMat-Bulk.

a b c (Å): 4.4479 4.4479 14.6601
angles (deg): 90.00 90.00 120.00
Closest atoms and distances in Å follow each position.
Space group R-3m (No. 166, hexagonal axes)
One atom of each set of equivalent atoms:
Pm 0.0000 0.0000 0.0000  8 Pd 3.09-3.13
Ti 0.0000 0.0000 0.5000  6 Pd 2.65
Pd 0.0000 0.0000 0.2107  3 Ti 2.65, 3 Pd 2.87

Output
calculated density	8.05	g/cm3


Entry C
The following is a PBE calculation of a geometry-optimized PmTiPd2 structure, from Alexandria via LeMat-Bulk.

a b c (Å): 4.8754 4.8754 3.2938
angles (deg): 90.00 90.00 90.00
Closest atoms and distances in Å follow each position.
Space group P4/mmm (No. 123)
One atom of each set of equivalent atoms:
Pm 0.0000 0.0000 0.0000  8 Pd 2.94, 2 Pm 3.29
Ti 0.5000 0.5000 0.0000  8 Pd 2.94, 2 Ti 3.29
Pd 0.0000 0.5000 0.5000  4 Pm 2.94, 4 Ti 2.94, 2 Pd 3.29

Output
calculated density	8.61	g/cm3


Name the least stable of them. entry A.


Entry A
The following is a PBE calculation of a geometry-optimized Pm12TlPd6 structure, from Alexandria via LeMat-Bulk.

a b c (Å): 10.2509 10.2509 10.2509
angles (deg): 90.00 90.00 90.00
Closest atoms and distances in Å follow each position.
Space group Im-3 (No. 204)
One atom of each set of equivalent atoms:
Pm 0.0000 0.1841 0.2993  3 Pd 2.78-3.11
Tl 0.0000 0.0000 0.0000  12 Pm 3.60
Pd 0.0000 0.3661 0.5000  1 Pd 2.74, 2 Pm 2.78

Output
calculated density	7.96	g/cm3


Entry B
The following is a PBE calculation of a geometry-optimized Pm12TlPd6 structure, from Alexandria via LeMat-Bulk.

a b c (Å): 14.5266 14.5266 9.1790
angles (deg): 90.00 90.00 120.00
Closest atoms and distances in Å follow each position.
Space group R-3 (No. 148, hexagonal axes)
One atom of each set of equivalent atoms:
Pm 0.0391 0.7862 0.4296  3 Pd 2.84-2.98
Pm 0.0595 0.8806 0.8264  3 Pd 2.86-3.08
Tl 0.0000 0.0000 0.5000  12 Pm 3.49-3.77
Pd 0.0711 0.5711 0.7826  6 Pm 2.84-3.08

Output
calculated density	7.67	g/cm3


Name the least stable of them. entry B.


Entry A
The following is a PBE calculation of a geometry-optimized PmTl2Pd structure, from Alexandria via LeMat-Bulk.

a b c (Å): 7.2301 7.2301 7.2301
angles (deg): 90.00 90.00 90.00
Closest atoms and distances in Å follow each position.
Space group Fm-3m (No. 225)
One atom of each set of equivalent atoms:
Pm 0.0000 0.0000 0.0000  8 Tl 3.13
Tl 0.2500 0.2500 0.2500  4 Pm 3.13, 4 Pd 3.13
Pd 0.0000 0.0000 0.5000  8 Tl 3.13

Output
calculated density	11.60	g/cm3


Entry B
The following is a PBE calculation of a geometry-optimized PmTl2Pd structure, from Alexandria via LeMat-Bulk.

a b c (Å): 4.4734 4.4734 4.9117
angles (deg): 90.00 90.00 90.00
Closest atoms and distances in Å follow each position.
Space group P4/mmm (No. 123)
One atom of each set of equivalent atoms:
Pm 0.0000 0.0000 0.0000  4 Pd 3.16, 8 Tl 3.32
Tl 0.0000 0.5000 0.5000  4 Tl 3.16, 4 Pm 3.32, 4 Pd 3.32
Pd 0.5000 0.5000 0.0000  4 Pm 3.16, 8 Tl 3.32

Output
calculated density	11.15	g/cm3


Entry C
The following is a PBE calculation of a geometry-optimized PmTl2Pd structure, from Alexandria via LeMat-Bulk.

a b c (Å): 3.4708 3.4708 31.5466
angles (deg): 90.00 90.00 120.00
Closest atoms and distances in Å follow each position.
Space group R-3m (No. 166, hexagonal axes)
One atom of each set of equivalent atoms:
Pm 0.0000 0.0000 0.0000  2 Tl 3.20, 6 Pm 3.47
Tl 0.0000 0.0000 0.1013  3 Pd 2.87, 1 Pm 3.20
Pd 0.0000 0.0000 0.5000  6 Tl 2.87

Output
calculated density	9.99	g/cm3


Name the least stable of them. entry C.


Entry A
The following is a PBE calculation of a geometry-optimized Pm3TlPd structure, from Alexandria via LeMat-Bulk.

a b c (Å): 7.4707 7.4707 7.4707
angles (deg): 90.00 90.00 90.00
Closest atoms and distances in Å follow each position.
Space group Pm-3m (No. 221)
One atom of each set of equivalent atoms:
Pm 0.0000 0.0000 0.0000  8 Pm 3.47, 6 Tl 3.74
Pm 0.2681 0.2681 0.2681  3 Pd 3.16, 3 Tl 3.32, 4 Pm 3.46-3.47
Tl 0.0000 0.0000 0.5000  8 Pm 3.32
Pd 0.0000 0.5000 0.5000  8 Pm 3.16

Output
calculated density	8.91	g/cm3


Entry B
The following is a PBE calculation of a geometry-optimized Pm3TlPd structure, from Alexandria via LeMat-Bulk.

a b c (Å): 9.8701 7.5484 8.7759
angles (deg): 90.00 113.72 90.00
Closest atoms and distances in Å follow each position.
Space group P2_1/c (No. 14)
One atom of each set of equivalent atoms:
Pm 0.0726 0.0251 0.2181  1 Pd 3.06, 4 Tl 3.09-3.34
Pm 0.3180 0.1661 0.6079  3 Pd 2.86-3.15
Pm 0.3581 0.6802 0.4817  3 Pd 3.13-3.25, 1 Tl 3.18
Tl 0.0973 0.6640 0.0666  1 Tl 3.06, 6 Pm 3.09-3.34
Pd 0.4083 0.0317 0.3220  6 Pm 2.86-3.15, 1 Pd 2.95

Output
calculated density	8.28	g/cm3


Name the least stable of them. entry A.


Entry A
The following is a PBE calculation of a geometry-optimized Pm8TlPd2 structure, from Alexandria via LeMat-Bulk.

a b c (Å): 8.8557 13.9738 5.6472
angles (deg): 90.00 106.19 90.00
Closest atoms and distances in Å follow each position.
Space group C2/m (No. 12)
One atom of each set of equivalent atoms:
Pm 0.0000 0.2424 0.0000  2 Pd 2.94
Pm 0.1051 0.5000 0.8092  4 Pm 3.22-3.52, 2 Pd 3.28, 1 Tl 3.36
Pm 0.2059 0.1226 0.5729  2 Pd 2.95-3.05
Tl 0.0000 0.0000 0.0000  8 Pm 3.36-3.67
Pd 0.0000 0.3011 0.5000  8 Pm 2.94-3.28

Output
calculated density	7.81	g/cm3


Entry B
The following is a PBE calculation of a geometry-optimized Pm8TlPd2 structure, from Alexandria via LeMat-Bulk.

a b c (Å): 17.5909 5.0705 8.0005
angles (deg): 90.00 114.56 90.00
Closest atoms and distances in Å follow each position.
Space group C2/m (No. 12)
One atom of each set of equivalent atoms:
Pm 0.0495 0.0000 0.2602  1 Pd 2.97
Pm 0.0941 0.5000 0.9649  2 Pd 3.07, 1 Tl 3.38
Pm 0.1827 0.5000 0.4752  1 Pd 2.89
Pm 0.1865 0.0000 0.7888  1 Pd 2.86
Tl 0.0000 0.5000 0.5000  8 Pm 3.30-3.50
Pd 0.1914 0.0000 0.1504  5 Pm 2.86-3.07

Output
calculated density	8.07	g/cm3


Name the least stable of them. entry A.


Entry A
The following is a PBE calculation of a geometry-optimized PmTlPd6 structure, from Alexandria via LeMat-Bulk.

a b c (Å): 4.1430 4.1430 8.2621
angles (deg): 90.00 90.00 90.00
Closest atoms and distances in Å follow each position.
Space group P4/mmm (No. 123)
One atom of each set of equivalent atoms:
Pm 0.0000 0.0000 0.0000  12 Pd 2.93-2.96
Tl 0.0000 0.0000 0.5000  12 Pd 2.89-2.93
Pd 0.0000 0.5000 0.2565  2 Tl 2.89, 8 Pd 2.89-2.96, 2 Pm 2.96
Pd 0.5000 0.5000 0.0000  4 Pm 2.93, 8 Pd 2.96
Pd 0.5000 0.5000 0.5000  8 Pd 2.89, 4 Tl 2.93

Output
calculated density	11.57	g/cm3


Entry B
The following is a PBE calculation of a geometry-optimized PmTlPd6 structure, from Alexandria via LeMat-Bulk.

a b c (Å): 5.2683 5.2683 5.2683
angles (deg): 90.00 90.00 90.00
Closest atoms and distances in Å follow each position.
Space group Pm-3 (No. 200)
One atom of each set of equivalent atoms:
Pm 0.0000 0.0000 0.0000  12 Pd 2.95
Tl 0.5000 0.5000 0.5000  12 Pd 2.94
Pd 0.0000 0.2531 0.5000  2 Pd 2.60-2.67

Output
calculated density	11.22	g/cm3


Name the least stable of them. entry B.


Entry A
The following is a PBE calculation of a geometry-optimized PmTmTlPd structure, from Alexandria via LeMat-Bulk.

a b c (Å): 3.5862 3.5862 7.7187
angles (deg): 90.00 90.00 90.00
Closest atoms and distances in Å follow each position.
Space group P4mm (No. 99)
One atom of each set of equivalent atoms:
Pm 0.0000 0.0000 0.0000  4 Pd 3.21, 4 Tl 3.37, 1 Tm 3.46, 4 Pm 3.59
Tm 0.0000 0.0000 0.5522  4 Pd 2.94, 4 Tl 3.26
Tl 0.5000 0.5000 0.2868  4 Tm 3.26, 4 Pm 3.37, 1 Pd 3.54, 4 Tl 3.59
Pd 0.5000 0.5000 0.7449  4 Tm 2.94, 4 Pm 3.21

Output
calculated density	10.45	g/cm3


Entry B
The following is a PBE calculation of a geometry-optimized PmTmTlPd structure, from Alexandria via LeMat-Bulk.

a b c (Å): 7.3711 7.3711 7.3711
angles (deg): 90.00 90.00 90.00
Closest atoms and distances in Å follow each position.
Space group F-43m (No. 216)
One atom of each set of equivalent atoms:
Pm 0.0000 0.0000 0.0000  4 Tl 3.19, 4 Pd 3.19
Tm 0.0000 0.0000 0.5000  4 Tl 3.19, 4 Pd 3.19
Tl 0.2500 0.2500 0.7500  4 Pm 3.19, 4 Tm 3.19
Pd 0.2500 0.2500 0.2500  4 Tm 3.19, 4 Pm 3.19

Output
calculated density	10.36	g/cm3


Name the least stable of them. entry B.


Entry A
The following is a PBE calculation of a geometry-optimized Pm2TmPd3 structure, from Alexandria via LeMat-Bulk.

a b c (Å): 5.0340 15.4286 3.4714
angles (deg): 90.00 90.00 90.00
Closest atoms and distances in Å follow each position.
Space group Cmmm (No. 65)
One atom of each set of equivalent atoms:
Pm 0.0000 0.1662 0.0000  8 Pd 3.06-3.29
Tm 0.0000 0.5000 0.0000  8 Pd 2.92-3.06
Pd 0.0000 0.0000 0.5000  4 Tm 3.06, 4 Pm 3.10
Pd 0.0000 0.3474 0.5000  2 Tm 2.92, 4 Pm 3.06

Output
calculated density	9.59	g/cm3


Entry B
The following is a PBE calculation of a geometry-optimized Pm2TmPd3 structure, from Alexandria via LeMat-Bulk.

a b c (Å): 12.0611 5.9513 8.5929
angles (deg): 90.00 110.71 90.00
Closest atoms and distances in Å follow each position.
Space group C2/c (No. 15)
One atom of each set of equivalent atoms:
Pm 0.1778 0.0192 0.0851  6 Pd 2.98-3.10
Tm 0.0000 0.3589 0.2500  6 Pd 2.78-2.99
Pd 0.0000 0.1381 0.7500  2 Tm 2.96-2.99, 4 Pm 3.00-3.10, 2 Pd 3.28
Pd 0.1363 0.4755 0.5745  2 Tm 2.78, 4 Pm 2.98-3.05, 1 Pd 3.09

Output
calculated density	8.96	g/cm3


Name the least stable of them. entry B.


Entry A
The following is a PBE calculation of a geometry-optimized Pm2TmPd structure, from Alexandria via LeMat-Bulk.

a b c (Å): 3.6782 3.6782 8.2977
angles (deg): 90.00 90.00 90.00
Closest atoms and distances in Å follow each position.
Space group P4/mmm (No. 123)
One atom of each set of equivalent atoms:
Pm 0.0000 0.0000 0.2062  4 Pd 3.11, 1 Pm 3.42
Tm 0.5000 0.5000 0.5000  8 Pm 3.56, 4 Tm 3.68
Pd 0.5000 0.5000 0.0000  8 Pm 3.11

Output
calculated density	8.36	g/cm3


Entry B
The following is a PBE calculation of a geometry-optimized Pm2TmPd structure, from Alexandria via LeMat-Bulk.

a b c (Å): 3.7640 3.7640 29.0029
angles (deg): 90.00 90.00 120.00
Closest atoms and distances in Å follow each position.
Space group R3m (No. 160, hexagonal axes)
One atom of each set of equivalent atoms:
Pm 0.0000 0.0000 0.0000  3 Pd 2.94
Pm 0.0000 0.0000 0.1978  3 Pd 2.92
Tm 0.0000 0.0000 0.7657  6 Pm 3.59-3.60, 6 Tm 3.76
Pd 0.0000 0.0000 0.5986  6 Pm 2.92-2.94

Output
calculated density	7.91	g/cm3


Name the least stable of them. entry B.